1.
# Na3HoSn3S8

A geometry-optimized Na3HoSn3S8 structure (PBE-GGA, the Alexandria database).

Summary:
Its energy relative to the elements, uncorrected is -0.907 eV/atom.

Lattice parameters (Å, degrees): 7.760 7.758 8.178 118.35 90.00 120.01
Element x y z (fractional)
S 0.742 0.485 0.726
S 0.736 0.977 0.719
S 0.759 0.023 0.281
S 0.758 0.516 0.282
S 0.258 0.515 0.274
S 0.241 0.977 0.719
S 0.264 0.023 0.281
S 0.242 0.484 0.718
Na 0.000 0.500 0.000
Na 0.500 0.500 0.000
Na 0.000 0.000 0.000
Ho 0.000 0.000 0.500
Sn 0.000 0.500 0.500
Sn 0.500 0.500 0.500
Sn 0.500 0.000 0.500

2.
# Ag2SnPb

A geometry-optimized Ag2SnPb structure (PBE-GGA, the Alexandria database).

Summary:
The value obtained for the energy above the most stable polymorph in this dataset is 0.0002 eV per atom.

Lattice parameters (Å, degrees): 3.892 4.905 4.905 90.00 90.00 90.00
Element x y z (fractional)
Pb 0.500 0.000 0.000
Sn 0.500 0.500 0.500
Ag 0.000 0.500 0.000
Ag 0.000 0.000 0.500

3.
# Tm2ScGa5

A geometry-optimized Tm2ScGa5 structure (PBE-GGA, the Alexandria database).

Summary:
The calculation puts the uncorrected energy at -34.81 eV per cell.

Lattice parameters (Å, degrees): 5.946 5.946 5.946 101.06 113.83 113.83
Element x y z (fractional)
Ga 0.000 0.685 0.271
Ga 0.000 0.758 0.758
Ga 0.586 0.271 0.271
Ga 0.414 0.685 0.685
Ga 0.000 0.271 0.685
Tm 0.500 0.740 0.240
Tm 0.500 0.240 0.740
Sc 0.000 0.129 0.129

4.
# La2PPb

A geometry-optimized La2PPb structure (PBE-GGA, the Alexandria database).

Summary:
The value obtained for the energy above the most stable polymorph in this dataset is 0.2262 eV per atom.

Lattice parameters (Å, degrees): 6.302 6.302 4.568 84.52 84.52 41.12
Element x y z (fractional)
La 0.735 0.735 0.612
La 0.002 0.002 0.134
P 0.482 0.482 0.656
Pb 0.282 0.282 0.099

5.
# LiTcAg2

A geometry-optimized LiTcAg2 structure (PBE-GGA, the Alexandria database).

Summary:
The value obtained for the energy above the most stable polymorph in this dataset is 0.1412 eV per atom.

Lattice parameters (Å, degrees): 5.660 5.660 5.660 152.46 128.53 59.36
Site moments in Bohr magnetons follow the coordinates.
Element x y z (fractional)
Tc 0.252 0.752 0.500  0.80
Ag 0.743 0.243 0.500  0.02
Ag 0.001 0.001 0.000  0.02
Li 0.505 0.505 0.000  -0.01

6.
# DyYPt

A geometry-optimized DyYPt structure (PBE-GGA, the Alexandria database).

Summary:
The value obtained for the energy above the most stable polymorph in this dataset is 0.1089 eV per atom.

Lattice parameters (Å, degrees): 6.162 4.114 4.114 120.00 90.00 90.00
Element x y z (fractional)
Y 0.577 0.667 0.333
Dy 0.092 0.000 0.000
Pt 0.331 0.333 0.667

7.
# Ac3Ru

A geometry-optimized Ac3Ru structure (PBE-GGA, the Alexandria database).

Summary:
The value obtained for the energy above the most stable polymorph in this dataset is 0.5886 eV per atom.

Lattice parameters (Å, degrees): 5.662 5.662 5.662 60.00 60.00 60.00
Element x y z (fractional)
Ac 0.750 0.750 0.750
Ac 0.250 0.250 0.250
Ac 0.000 0.000 0.000
Ru 0.500 0.500 0.500

8.
# LiTlPb3

A geometry-optimized LiTlPb3 structure (PBE-GGA, the Alexandria database).

Summary:
The value obtained for the energy above the most stable polymorph in this dataset is 0.0031 eV per atom.

Lattice parameters (Å, degrees): 5.056 8.656 6.799 90.00 90.00 106.70
Element x y z (fractional)
Pb 0.889 0.275 0.502
Pb 0.111 0.725 0.002
Pb 0.111 0.725 0.498
Pb 0.889 0.275 0.998
Pb 0.703 0.910 0.250
Pb 0.297 0.090 0.750
Tl 0.503 0.505 0.750
Tl 0.497 0.495 0.250
Li 0.695 0.889 0.750
Li 0.305 0.111 0.250

9.
# SrMo2Pb

A geometry-optimized SrMo2Pb structure (PBE-GGA, the Alexandria database).

Summary:
The calculation puts the uncorrected energy at -24.02 eV per cell.

Lattice parameters (Å, degrees): 3.556 4.045 6.970 90.00 90.00 90.00
Element x y z (fractional)
Mo 0.000 0.000 0.414
Mo 0.000 0.000 0.086
Sr 0.500 0.500 0.750
Pb 0.500 0.500 0.250

10.
# NaHoSn

A geometry-optimized NaHoSn structure (PBE-GGA, the Alexandria database).

Summary:
The calculation puts the uncorrected energy at -10.65 eV per cell.

Lattice parameters (Å, degrees): 3.468 5.141 5.141 120.00 90.00 90.00
Element x y z (fractional)
Na 0.892 0.000 0.000
Sn 0.766 0.667 0.333
Ho 0.342 0.333 0.667

11.
# Li3Nd2CuGe4

A geometry-optimized Li3Nd2CuGe4 structure (PBE-GGA, the Alexandria database).

Summary:
The calculation puts the uncorrected energy at -43.17 eV per cell.

Lattice parameters (Å, degrees): 4.261 4.261 10.112 90.00 90.00 90.00
Element x y z (fractional)
Li 0.000 0.500 0.134
Li 0.500 0.000 0.866
Li 0.000 0.000 0.500
Ge 0.000 0.000 0.000
Ge 0.500 0.000 0.625
Ge 0.500 0.500 0.000
Ge 0.000 0.500 0.375
Cu 0.500 0.500 0.500
Nd 0.000 0.500 0.746
Nd 0.500 0.000 0.254

12.
# Nd4AgOs

A geometry-optimized Nd4AgOs structure (PBE-GGA, the Alexandria database).

Summary:
The calculation puts the uncorrected energy at -68.11 eV per cell.

Lattice parameters (Å, degrees): 6.381 9.269 7.876 114.50 98.79 115.39
Element x y z (fractional)
Nd 0.605 0.065 0.343
Nd 0.224 0.632 0.844
Nd 0.762 0.722 0.657
Nd 0.776 0.368 0.156
Nd 0.238 0.278 0.343
Nd 0.121 0.213 0.844
Nd 0.879 0.787 0.156
Nd 0.395 0.935 0.657
Ag 0.376 0.626 0.252
Ag 0.624 0.374 0.748
Os 0.249 0.999 0.998
Os 0.751 0.001 0.002